1.
VASP calculation (meta-GGA SCAN) on a PBEsol-optimized structure of RbMo2PdO.

a = 4.015 Å, b = 4.015 Å, c = 5.269 Å
α = 90.00°, β = 90.00°, γ = 90.00°
Space group P4/mmm (No. 123)
Symmetry-distinct sites (fractional):
1 Rb 0.000 0.000 0.000
2 Mo 0.000 0.500 0.500
3 Pd 0.500 0.500 0.000
4 O 0.000 0.000 0.500

Output
**Energy relative to the elements, uncorrected**: 0.423 eV per atom
**Fermi-level density of states**: 0.883 states/eV per atom
**Spin magnetization**: 0.007 μB/cell

2.
VASP calculation (meta-GGA SCAN) on a PBEsol-optimized structure of Pr2MoO6.

a = 16.723 Å, b = 11.431 Å, c = 5.541 Å
α = 90.00°, β = 107.88°, γ = 90.00°
Space group C2/c (No. 15)
Symmetry-distinct sites (fractional):
1 Pr 0.000 0.111 0.250
2 Pr 0.000 0.369 0.750
3 Pr 0.173 0.117 0.883
4 Mo 0.153 0.355 0.439
5 O 0.076 0.240 0.584
6 O 0.081 0.464 0.480
7 O 0.093 0.015 0.078
8 O 0.106 0.279 0.140
9 O 0.228 0.299 0.728
10 O 0.230 0.444 0.361

Output
**Energy relative to the elements, uncorrected**: -3.142 eV per atom
**Fermi-level density of states**: 0.000 states/eV per atom
**Spin magnetization**: 0.000 μB/cell

3.
VASP calculation (meta-GGA SCAN) on a PBEsol-optimized structure of Pr2Mo3O12.

a = 10.575 Å, b = 10.619 Å, c = 10.920 Å
α = 90.00°, β = 90.00°, γ = 90.00°
Space group Pba2 (No. 32)
Symmetry-distinct sites (fractional):
1 Pr 0.008 0.191 0.000
2 Pr 0.191 0.506 0.527
3 Mo 0.004 0.791 0.621
4 Mo 0.208 0.512 0.907
5 Mo 0.242 0.758 0.264
6 O 0.006 0.371 0.574
7 O 0.019 0.198 0.779
8 O 0.114 0.120 0.548
9 O 0.117 0.389 0.970
10 O 0.125 0.826 0.171
11 O 0.129 0.994 0.952
12 O 0.145 0.186 0.169
13 O 0.156 0.844 0.582
14 O 0.158 0.660 0.959
15 O 0.173 0.645 0.361
16 O 0.187 0.374 0.356
17 O 0.196 0.510 0.748

Output
**Energy relative to the elements, uncorrected**: -2.708 eV per atom
**Fermi-level density of states**: 0.000 states/eV per atom
**Spin magnetization**: 0.001 μB/cell

4.
VASP calculation (meta-GGA SCAN) on a PBEsol-optimized structure of Pr2Mo3O12.

a = 7.556 Å, b = 7.556 Å, c = 10.875 Å
α = 90.00°, β = 90.00°, γ = 90.00°
Space group P-42_1m (No. 113)
Symmetry-distinct sites (fractional):
1 Pr 0.189 0.311 0.263
2 Mo 0.000 0.000 0.000
3 Mo 0.209 0.291 0.645
4 O 0.003 0.226 0.702
5 O 0.043 0.185 0.094
6 O 0.128 0.628 0.310
7 O 0.198 0.302 0.484

Output
**Energy relative to the elements, uncorrected**: -2.707 eV per atom
**Fermi-level density of states**: 0.000 states/eV per atom
**Spin magnetization**: 0.000 μB/cell

5.
VASP calculation (meta-GGA SCAN) on a PBEsol-optimized structure of Pr2Te4MoO14.

a = 6.944 Å, b = 9.979 Å, c = 10.093 Å
α = 90.28°, β = 107.76°, γ = 93.82°
Space group P-1 (No. 2)
Symmetry-distinct sites (fractional):
1 Pr 0.148 0.309 0.087
2 Pr 0.287 0.540 0.794
3 Te 0.130 0.272 0.460
4 Te 0.239 0.610 0.285
5 Te 0.425 0.834 0.625
6 Te 0.448 0.796 0.045
7 Mo 0.020 0.036 0.761
8 O 0.004 0.416 0.867
9 O 0.084 0.397 0.312
10 O 0.113 0.120 0.925
11 O 0.117 0.858 0.366
12 O 0.138 0.112 0.236
13 O 0.187 0.391 0.610
14 O 0.200 0.720 0.928
15 O 0.207 0.700 0.595
16 O 0.232 0.991 0.715
17 O 0.370 0.770 0.213
18 O 0.379 0.494 0.206
19 O 0.412 0.358 0.960
20 O 0.431 0.285 0.462
21 O 0.482 0.226 0.189

Output
**Energy relative to the elements, uncorrected**: -2.025 eV per atom
**Fermi-level density of states**: 0.000 states/eV per atom
**Spin magnetization**: 0.000 μB/cell

6.
VASP calculation (meta-GGA SCAN) on a PBEsol-optimized structure of MoPtO2.

a = 2.7614 Å, b = 2.7614 Å, c = 20.1194 Å
α = 90.00°, β = 90.00°, γ = 120.00°
Space group R-3m (No. 166, hexagonal axes)
Symmetry-distinct sites (fractional):
1 Mo 0.0000 0.0000 0.0000
2 Pt 0.0000 0.0000 0.5000
3 O 0.0000 0.0000 0.4000

Output
**Energy relative to the elements, uncorrected**: -1.242 eV per atom
**Fermi-level density of states**: 0.431 states/eV per atom
**Spin magnetization**: 0.000 μB/cell